SiNi3F | GGA+U | optimized geometry

Cell: 4.180 4.180 4.180 Å, 90.00 90.00 90.00°
Atoms (fractional coordinates):
Si1 0.000 0.000 0.000
Ni1 0.000 0.000 0.500
Ni2 0.000 0.500 0.000
Ni3 0.500 0.000 0.000
F1 0.500 0.500 0.500

Summary:
Distance to the lowest polymorph of the same formula   805 meV/atom
SG   Pm-3m, No. 221
Total moment   0.0 μB/f.u.